Record 1
Material: CdCuBi2
Method: DFT, GGA-PBE
State: optimized geometry

It has space group F-43m (No. 216), with a = 7.421 Å, b = 7.421 Å, c = 7.421 Å, α = 90.00°, β = 90.00° and γ = 90.00°. The asymmetric unit holds Cd at (0.000, 0.000, 0.000), Cu at (0.250, 0.250, 0.750), Bi at (0.000, 0.000, 0.500) and Bi at (0.250, 0.250, 0.250).

Its calculated total energy is -2.8419 eV per atom. Its density is 9.65 Mg/m³.

***

Record 2
Material: TaBiN2O
Method: DFT, GGA-PBE
State: optimized geometry

It has space group Pnma (No. 62), with a = 5.753 Å, b = 7.823 Å, c = 5.839 Å, α = 90.00°, β = 90.00° and γ = 90.00°. The asymmetric unit holds Ta at (0.000, 0.000, 0.000), Bi at (0.001, 0.250, 0.452), N at (0.248, 0.557, 0.748) and O at (0.001, 0.750, 0.085).

Its calculated total energy is -8.3505 eV per atom. Its density is 10.97 Mg/m³.

***

Record 3
Material: PrNbAs
Method: DFT, GGA-PBE
State: optimized geometry

It has space group F-43m (No. 216), with a = 7.048 Å, b = 7.048 Å, c = 7.048 Å, α = 90.00°, β = 90.00° and γ = 90.00°. The asymmetric unit holds Pr at (0.000, 0.000, 0.000), Nb at (0.250, 0.250, 0.250) and As at (0.250, 0.250, 0.750).

Its calculated total energy is -5.7209 eV per atom. Its density is 5.86 Mg/m³.

***

Record 4
Material: PrGaNi
Method: DFT, GGA-PBE
State: optimized geometry

It has space group F-43m (No. 216), with a = 6.398 Å, b = 6.398 Å, c = 6.398 Å, α = 90.00°, β = 90.00° and γ = 90.00°. The asymmetric unit holds Pr at (0.000, 0.000, 0.000), Ga at (0.000, 0.000, 0.500) and Ni at (0.250, 0.250, 0.750).

Its calculated total energy is -4.7993 eV per atom. Its density is 6.83 Mg/m³.